Crystalline VSb3Se8 at its relaxed geometry, computed with PBE.

a b c (Å): 7.6895 7.6884 8.2162
angles (deg): 118.01 90.00 120.00
Site moments in Bohr magnetons follow the coordinates.
Element x y z (fractional)
V  0.0000  0.0000  0.0000  1.00
Sb  0.5000  0.0000  0.0000  0.00
Sb  0.5000  0.5000  0.0000  0.01
Sb  0.0000  0.5000  0.0000  0.01
Se  0.2510  0.5020  0.7546  0.04
Se  0.7490  0.4980  0.2454  0.04
Se  0.2320  0.0068  0.7819  -0.03
Se  0.7748  0.0068  0.7819  -0.03
Se  0.7744  0.5489  0.7821  -0.03
Se  0.2256  0.4511  0.2179  -0.03
Se  0.2252  0.9932  0.2181  -0.03
Se  0.7680  0.9932  0.2181  -0.03

Computed properties:
* uncorrected formation energy: -0.316 eV/atom
* energy: -4.430 eV/atom


Crystalline Y2CdPt at its relaxed geometry, computed with PBE.

a b c (Å): 4.1018 4.1018 7.9998
angles (deg): 75.15 75.15 60.00
Element x y z (fractional)
Y  0.0672  0.0672  0.7983
Y  0.2662  0.2662  0.2013
Cd  0.5012  0.5012  0.4964
Pt  0.6653  0.6653  0.0041

Computed properties:
* energy: -5.626 eV/atom
* energy relative to the elements: -655 meV per atom


Crystalline HfTaNb2 at its relaxed geometry, computed with PBE.

a b c (Å): 3.3491 3.3491 6.8480
angles (deg): 90.00 90.00 90.00
Element x y z (fractional)
Nb  0.0000  0.0000  0.7700
Nb  0.0000  0.0000  0.2300
Hf  0.5000  0.5000  0.5000
Ta  0.5000  0.5000  0.0000

Computed properties:
* polymorph energy (0 for the lowest one): 0.0 meV per atom
* energy: -10.452 eV/atom
* energy relative to the elements: 35 meV per atom


Crystalline Hf6Tc2Pt at its relaxed geometry, computed with PBE.

a b c (Å): 5.5012 7.1893 9.2560
angles (deg): 90.00 90.21 90.00
Element x y z (fractional)
Hf  0.8382  0.9279  0.2382
Hf  0.8371  0.6398  0.5537
Hf  0.8607  0.7273  0.9263
Hf  0.6393  0.2273  0.5737
Hf  0.6629  0.1398  0.9463
Hf  0.6618  0.4279  0.2618
Hf  0.1618  0.0721  0.7618
Hf  0.1629  0.3602  0.4463
Hf  0.1393  0.2727  0.0737
Hf  0.3607  0.7727  0.4263
Hf  0.3371  0.8602  0.0537
Hf  0.3382  0.5721  0.7382
Tc  0.8895  0.4043  0.7798
Tc  0.6105  0.9043  0.7202
Tc  0.3895  0.0957  0.2798
Tc  0.1105  0.5957  0.2202
Pt  0.5000  0.5000  0.0000
Pt  0.0000  0.0000  0.5000

Computed properties:
* energy: -9.855 eV/atom
* energy relative to the elements: -244 meV per atom


Crystalline Cs2BaBr6 at its relaxed geometry, computed with PBE.

a b c (Å): 5.4530 9.9695 10.2257
angles (deg): 48.69 108.25 102.95
Element x y z (fractional)
Cs  0.7224  0.7222  0.7218
Cs  0.2776  0.2778  0.2782
Ba  0.0000  0.0000  0.0000
Br  0.0379  0.8182  0.4191
Br  0.2023  0.4181  0.8193
Br  0.3799  0.8814  0.8800
Br  0.9621  0.1818  0.5809
Br  0.7977  0.5819  0.1807
Br  0.6201  0.1186  0.1200

Computed properties:
* uncorrected formation energy: -1.402 eV/atom
* energy: -2.921 eV/atom


Crystalline Er4Te5H at its relaxed geometry, computed with PBE.

a b c (Å): 4.3468 11.6002 8.0445
angles (deg): 106.90 105.67 90.00
Element x y z (fractional)
Er  0.3588  0.9257  0.7175
Er  0.9932  0.6713  0.9865
Er  0.6412  0.0743  0.2825
Er  0.0068  0.3287  0.0135
Te  0.8273  0.7358  0.6547
Te  0.8514  0.1115  0.7027
Te  0.1486  0.8885  0.2973
Te  0.5000  0.5000  0.0000
Te  0.1727  0.2642  0.3453
H  0.5000  0.0000  0.0000

Computed properties:
* energy: -4.759 eV/atom